[1]
# RbThNiSe3 | Alexandria via LeMat-Bulk | PBE | relaxed
data_RbThNiSe3
_symmetry_space_group_name_H-M 'P 1'
_symmetry_Int_Tables_number 1
_cell_length_a 9.575
_cell_length_b 4.172
_cell_length_c 9.814
_cell_angle_alpha 90.00
_cell_angle_beta 110.38
_cell_angle_gamma 90.00
loop_
_symmetry_equiv_pos_as_xyz
'x,y,z'
loop_
_atom_site_label
_atom_site_type_symbol
_atom_site_fract_x
_atom_site_fract_y
_atom_site_fract_z
Rb1 Rb 0.206 0.250 0.241
Rb2 Rb 0.794 0.750 0.759
Th1 Th 0.311 0.750 0.830
Th2 Th 0.689 0.250 0.170
Ni1 Ni 0.084 0.250 0.584
Ni2 Ni 0.916 0.750 0.416
Se1 Se 0.112 0.250 0.849
Se2 Se 0.184 0.750 0.519
Se3 Se 0.464 0.750 0.156
Se4 Se 0.536 0.250 0.844
Se5 Se 0.816 0.250 0.481
Se6 Se 0.888 0.750 0.151
# crystal system = monoclinic
# size of the total moment = 1.60 μB/cell
# N(E_F) = 8.79 states/eV/cell
# formation energy (no corrections) = -120 kJ/mol of atoms

***

[2]
# NaNdIn4O8 | Alexandria via LeMat-Bulk | PBE | relaxed
data_NaNdIn4O8
_symmetry_space_group_name_H-M 'P 1'
_symmetry_Int_Tables_number 1
_cell_length_a 6.608
_cell_length_b 6.608
_cell_length_c 6.608
_cell_angle_alpha 60.39
_cell_angle_beta 60.39
_cell_angle_gamma 60.39
loop_
_symmetry_equiv_pos_as_xyz
'x,y,z'
loop_
_atom_site_label
_atom_site_type_symbol
_atom_site_fract_x
_atom_site_fract_y
_atom_site_fract_z
Na1 Na 0.000 0.000 0.000
Nd1 Nd 0.381 0.381 0.381
In1 In 0.001 0.001 0.497
In2 In 0.001 0.497 0.001
In3 In 0.497 0.001 0.001
In4 In 0.617 0.617 0.617
O1 O 0.226 0.747 0.747
O2 O 0.240 0.240 0.240
O3 O 0.248 0.248 0.790
O4 O 0.248 0.790 0.248
O5 O 0.747 0.226 0.747
O6 O 0.747 0.747 0.226
O7 O 0.753 0.753 0.753
O8 O 0.790 0.248 0.248
# crystal system = trigonal
# size of the total moment = 0.00 μB/cell
# formation energy (no corrections) = -177 kJ/mol of atoms